Crystalline Ac2Zn4CuGe3 at its relaxed geometry. Source: Alexandria, functional PBE.

a = 4.435 Å, b = 4.435 Å, c = 10.510 Å
α = 90.00°, β = 90.00°, γ = 90.00°
Sites, in units of the cell vectors:
Zn 0.500 0.000 0.620
Zn 0.000 0.000 0.000
Zn 0.000 0.500 0.380
Zn 0.500 0.500 0.000
Ge 0.000 0.000 0.500
Ge 0.000 0.500 0.136
Ge 0.500 0.000 0.864
Ac 0.500 0.000 0.255
Ac 0.000 0.500 0.745
Cu 0.500 0.500 0.500

Properties
Symmetry: P-4m2 (115)
Magnetic moment: 0.0 μB per formula unit
Calculated volume: 20.677 Å³ per atom
Formation enthalpy at 0 K: -41 kJ per mole of atoms
N(E_F): 0.429 states/eV/atom